A plane-wave DFT calculation with GGA+U was carried out for a geometry-optimized K2NpVF6 structure.

Cell and atoms, written as POSCAR:
```
K2NpVF6
1.0
6.089 0.000 0.000
0.000 6.827 0.000
0.000 0.000 8.762
K Np V F
4 2 2 12
Direct
0.500 0.817 0.223 K
0.000 0.183 0.723 K
0.500 0.817 0.777 K
0.000 0.183 0.277 K
0.000 0.683 0.500 Np
0.500 0.317 0.000 Np
0.500 0.211 0.500 V
0.000 0.789 0.000 V
0.500 0.206 0.257 F
0.500 0.206 0.743 F
0.000 0.794 0.243 F
0.000 0.794 0.757 F
0.253 0.988 0.500 F
0.747 0.988 0.500 F
0.244 0.425 0.500 F
0.756 0.425 0.500 F
0.744 0.575 0.000 F
0.256 0.575 0.000 F
0.247 0.012 0.000 F
0.753 0.012 0.000 F
```

**Magnetic moment**: 7.69 μB per formula unit
**VASP energy**: -6.072 eV/atom
**Crystal system**: orthorhombic
**ρ**: 4.38 g/cm³